1.
Computed, not measured: K2LaHg10 after structural relaxation at the PBE-GGA level of DFT.

* electronic total energy: -0.926 eV/atom
* M_tot: 0.00 μB per formula unit
* energy of formation: -0.146 eV/atom

a = 7.0584 Å, b = 8.2810 Å, c = 15.9691 Å
α = 90.00°, β = 90.00°, γ = 90.00°
Positions (direct):
1 K 0.5000 0.1729 0.2947
2 K 0.5000 0.6729 0.2053
3 K 0.5000 0.8271 0.7053
4 K 0.5000 0.3271 0.7947
5 Hg 0.7004 0.1919 0.5079
6 Hg 0.0000 0.3166 0.1372
7 Hg 0.0000 0.8267 0.6277
8 Hg 0.0000 0.0059 0.7942
9 Hg 0.2996 0.8081 0.4921
10 Hg 0.0000 0.9941 0.2058
11 Hg 0.0000 0.8166 0.3628
12 Hg 0.2996 0.3081 0.0079
13 Hg 0.2996 0.6919 0.9921
14 Hg 0.0000 0.6834 0.8628
15 Hg 0.0000 0.3267 0.8723
16 Hg 0.7004 0.6919 0.9921
17 Hg 0.0000 0.6733 0.1277
18 Hg 0.7004 0.3081 0.0079
19 Hg 0.7004 0.8081 0.4921
20 Hg 0.0000 0.1733 0.3723
21 Hg 0.0000 0.5059 0.7058
22 Hg 0.0000 0.4941 0.2942
23 Hg 0.0000 0.1834 0.6372
24 Hg 0.2996 0.1919 0.5079
25 La 0.0000 0.0000 0.0000
26 La 0.0000 0.5000 0.5000


2.
Computed, not measured: Bi2As2Pd3 after structural relaxation at the PBE-GGA level of DFT.

* electronic total energy: -4.876 eV/atom
* M_tot: 0.00 μB per formula unit
* energy of formation: -0.213 eV/atom
* polymorph energy (0 for the lowest one): 0.27 eV/f.u.

a = 4.2991 Å, b = 5.4027 Å, c = 7.0709 Å
α = 103.26°, β = 107.70°, γ = 90.00°
Positions (direct):
1 Pd 0.0000 0.0000 0.0000
2 Pd 0.2300 0.8089 0.4599
3 Pd 0.7700 0.1911 0.5401
4 As 0.8213 0.6940 0.6426
5 As 0.1787 0.3060 0.3574
6 Bi 0.4208 0.2279 0.8415
7 Bi 0.5792 0.7721 0.1585